KBa2Cd | GGA-PBE | relaxed

Results
formation energy = 0.08 eV per atom
calculated total energy = -11.113 eV/cell
symmetry = I-42d (122)

abc: 10.4511 10.4511 8.4427
angles: 51.76 51.76 90.00
Closest atoms and distances in Å follow each position.
Fractional positions:
Ba (0.6850, 0.1250, 0.2500)  2 Cd 3.44
Ba (0.0650, 0.6250, 0.2500)  2 Cd 3.44
Ba (0.3750, 0.3150, 0.7500)  2 Cd 3.44
Ba (0.8750, 0.9350, 0.7500)  2 Cd 3.44
Cd (0.7500, 0.2500, 0.5000)  4 Ba 3.44
Cd (0.0000, 0.0000, 0.0000)  4 Ba 3.44
K (0.2500, 0.7500, 0.5000)  2 Cd 4.08, 8 Ba 4.29-4.49
K (0.5000, 0.5000, 0.0000)  2 Cd 4.08, 8 Ba 4.29-4.49